Compound: VSF2
Source: Alexandria via LeMat-Bulk
Functional: PBE+U
Structure: optimized geometry

The structure in POSCAR format:
```
VSF2
1.0
-1.991 1.991 7.124
1.991 -1.991 7.124
1.991 1.991 -7.124
V S F
2 2 4
Cartesian
0.000 0.000 0.000
0.000 1.991 3.562
1.991 0.000 3.562
0.000 0.000 7.124
2.987 0.582 -1.781
0.582 0.996 1.781
-0.996 1.409 5.343
1.409 0.996 8.905
```

## Properties
V: 14.12 Å³ per atom
total DFT energy (no corrections): -38.7 eV/cell
crystal system: tetragonal
distance to the lowest polymorph of the same formula: 0.4149 eV per atom